# NpAg2S3 (PBE, relaxed)
data_NpAg2S3
_cell_length_a 4.0569
_cell_length_b 11.3504
_cell_length_c 5.3881
_cell_angle_alpha 90.00
_cell_angle_beta 90.00
_cell_angle_gamma 90.00
_symmetry_space_group_name_H-M 'P m m n'
_symmetry_Int_Tables_number 59
loop_
_symmetry_equiv_pos_as_xyz
'x,y,z'
'-x,-y,-z'
'-x+1/2,-y+1/2,z'
'x+1/2,y+1/2,-z'
'x+1/2,-y,-z'
'-x+1/2,y,z'
'-x,y+1/2,-z'
'x,-y+1/2,z'
loop_
_atom_site_label
_atom_site_type_symbol
_atom_site_fract_x
_atom_site_fract_y
_atom_site_fract_z
Np1 Np 0.2500 0.2500 0.2492
Ag1 Ag 0.2500 0.5914 0.2507
S1 S 0.2500 0.2500 0.7492
S2 S 0.2500 0.5905 0.7506
# Energy above the most stable polymorph in this dataset (meV per atom): 0
# Raw formation energy (kJ/mol of formula units): -368
# Crystal system: orthorhombic
# E (eV/atom): -5.806

=====

# Np5Ag3S12 (PBE, relaxed)
data_Np5Ag3S12
_cell_length_a 10.9877
_cell_length_b 10.9877
_cell_length_c 3.9373
_cell_angle_alpha 90.00
_cell_angle_beta 90.00
_cell_angle_gamma 120.00
_symmetry_space_group_name_H-M 'P -6 2 m'
_symmetry_Int_Tables_number 189
_symmetry_space_group_name_Hall 'P -6 -2'
loop_
_atom_site_label
_atom_site_type_symbol
_atom_site_fract_x
_atom_site_fract_y
_atom_site_fract_z
Np1 Np 0.0000 0.2821 0.0000
Np2 Np 0.3333 0.6667 0.0000
Ag1 Ag 0.0000 0.6823 0.5000
S1 S 0.0000 0.5246 0.0000
S2 S 0.0000 0.8409 0.0000
S3 S 0.1877 0.4562 0.5000
# Raw formation energy (kJ/mol of formula units): -1557
# Crystal system: hexagonal
# E (eV/atom): -6.946

=====

# NpAgSbS4 (PBE, relaxed)
data_NpAgSbS4
_cell_length_a 7.8674
_cell_length_b 8.0652
_cell_length_c 11.3168
_cell_angle_alpha 90.00
_cell_angle_beta 90.00
_cell_angle_gamma 90.00
_symmetry_space_group_name_H-M 'I m m a'
_symmetry_Int_Tables_number 74
_symmetry_space_group_name_Hall '-I 2b 2'
loop_
_atom_site_label
_atom_site_type_symbol
_atom_site_fract_x
_atom_site_fract_y
_atom_site_fract_z
Np1 Np 0.0000 0.0000 0.0000
Ag1 Ag 0.0000 0.2500 0.3742
Sb1 Sb 0.2500 0.2500 0.7500
S1 S 0.0000 0.0099 0.7633
S2 S 0.2303 0.2500 0.9929
# Raw formation energy (kJ/mol of formula units): -435
# Crystal system: orthorhombic
# E (eV/atom): -5.848

=====

# NpSc2Ag2S6 (PBE, relaxed)
data_NpSc2Ag2S6
_cell_length_a 6.6357
_cell_length_b 11.5620
_cell_length_c 6.5356
_cell_angle_alpha 90.00
_cell_angle_beta 98.48
_cell_angle_gamma 90.00
_symmetry_space_group_name_H-M 'C 1 2/m 1'
_symmetry_Int_Tables_number 12
loop_
_symmetry_equiv_pos_as_xyz
'x,y,z'
'-x,-y,-z'
'-x,y,-z'
'x,-y,z'
'x+1/2,y+1/2,z'
'-x+1/2,-y+1/2,-z'
'-x+1/2,y+1/2,-z'
'x+1/2,-y+1/2,z'
loop_
_atom_site_label
_atom_site_type_symbol
_atom_site_fract_x
_atom_site_fract_y
_atom_site_fract_z
Np1 Np 0.0000 0.0000 0.0000
Sc1 Sc 0.0000 0.3358 0.0000
Ag1 Ag 0.0000 0.1278 0.5000
S1 S 0.1926 0.5000 0.2206
S2 S 0.2020 0.1734 0.2174
# Raw formation energy (kJ/mol of formula units): -1277
# Crystal system: monoclinic
# E (eV/atom): -6.301